(1)
Density functional theory data (GGA-PBE) for AcH2Rh after structural relaxation.

Values from the calculation:
Energy above the lowest structure with this stoichiometry in meV per atom: 0.0
Symmetry: P2/m, No. 10

a = 3.754 Å, b = 3.850 Å, c = 3.956 Å
α = 90.00°, β = 90.20°, γ = 90.00°
Atoms (fractional coordinates):
Ac  0.000  0.000  0.000
H  0.000  0.500  0.500
H  0.500  0.000  0.500
Rh  0.500  0.500  0.500

***

(2)
Density functional theory data (GGA-PBE) for TlAg3 after structural relaxation.

Values from the calculation:
Total energy in eV per atom: -2.542
Symmetry: Cmcm, No. 63

a = 8.409 Å, b = 9.381 Å, c = 4.646 Å
α = 90.00°, β = 90.00°, γ = 90.00°
Atoms (fractional coordinates):
Tl  0.000  0.106  0.250
Tl  0.000  0.894  0.750
Tl  0.500  0.394  0.750
Tl  0.500  0.606  0.250
Ag  0.000  0.417  0.250
Ag  0.000  0.583  0.750
Ag  0.168  0.301  0.750
Ag  0.168  0.699  0.250
Ag  0.332  0.199  0.250
Ag  0.332  0.801  0.750
Ag  0.500  0.083  0.750
Ag  0.500  0.917  0.250
Ag  0.668  0.199  0.250
Ag  0.668  0.801  0.750
Ag  0.832  0.301  0.750
Ag  0.832  0.699  0.250